# CoAsOs

Crystalline CoAsOs at its relaxed geometry (PBE, the Alexandria database).

Energy above the most stable polymorph in this dataset in eV/atom: 0.112
ΔE_f in eV/atom: 0.39

Cell lengths 2.909, 3.739, 7.586 Å; angles 90.00, 90.00, 90.00 degrees
Space group Imm2 (No. 44)
One atom of each set of equivalent atoms:
1 Co 0.000 0.000 0.000 [2 per cell]
2 As 0.000 0.000 0.319 [2 per cell]
3 Os 0.000 0.000 0.651 [2 per cell]


# Bi2CSe2

Crystalline Bi2CSe2 at its relaxed geometry (PBE, the Alexandria database).

Formation energy from raw total energies in eV per atom: 0.9549
Energy above the most stable polymorph in this dataset in eV/atom: 0.179

Cell lengths 6.417, 6.417, 5.909 Å; angles 90.00, 90.00, 90.00 degrees
Space group P4/mbm (No. 127)
One atom of each set of equivalent atoms:
1 Bi 0.214 0.286 0.000 [4 per cell]
2 C 0.000 0.000 0.500 [2 per cell]
3 Se 0.250 0.250 0.500 [4 per cell]


# UMn4Tc

Crystalline UMn4Tc at its relaxed geometry (PBE, the Alexandria database).

ΔE_f in eV/atom: 0.16

Cell lengths 6.886, 6.886, 6.886 Å; angles 90.00, 90.00, 90.00 degrees
Space group F-43m (No. 216)
One atom of each set of equivalent atoms:
1 U 0.000 0.000 0.000 [4 per cell]
2 Mn 0.124 0.124 0.624 [16 per cell]
3 Tc 0.250 0.250 0.250 [4 per cell]


# PrSm3Co

Crystalline PrSm3Co at its relaxed geometry (PBE, the Alexandria database).

Energy above the most stable polymorph in this dataset in eV/atom: 0.106
ΔE_f in eV/atom: 0.04

Cell lengths 5.417, 5.417, 5.417 Å; angles 90.00, 90.00, 90.00 degrees
Space group Pm-3m (No. 221)
One atom of each set of equivalent atoms:
1 Pr 0.000 0.000 0.000 [1 per cell]
2 Sm 0.000 0.500 0.500 [3 per cell]
3 Co 0.500 0.500 0.500 [1 per cell]


# Sr4Ni

Crystalline Sr4Ni at its relaxed geometry (PBE, the Alexandria database).

Energy above the most stable polymorph in this dataset in eV/atom: 0.000
ΔE_f in eV/atom: -0.03

Cell lengths 8.480, 14.843, 7.017 Å; angles 90.00, 90.00, 90.00 degrees
Space group Cmce (No. 64)
One atom of each set of equivalent atoms:
1 Sr 0.000 0.164 0.229 [8 per cell]
2 Sr 0.250 0.078 0.750 [8 per cell]
3 Ni 0.000 0.000 0.000 [4 per cell]


# AsIO2F

Crystalline AsIO2F at its relaxed geometry (PBE, the Alexandria database).

Formation energy from raw total energies in eV per atom: -0.3924

Cell lengths 3.691, 3.691, 6.351 Å; angles 90.00, 90.00, 90.00 degrees
Space group P4/mmm (No. 123)
One atom of each set of equivalent atoms:
1 As 0.000 0.000 0.000 [1 per cell]
2 I 0.000 0.000 0.500 [1 per cell]
3 O 0.000 0.500 0.000 [2 per cell]
4 F 0.500 0.500 0.500 [1 per cell]


# In2CoRh

Crystalline In2CoRh at its relaxed geometry (PBE, the Alexandria database).

ΔE_f in eV/atom: -0.14

Cell lengths 3.182, 3.182, 6.373 Å; angles 90.00, 90.00, 90.00 degrees
Space group P4/mmm (No. 123)
One atom of each set of equivalent atoms:
1 In 0.000 0.000 0.240 [2 per cell]
2 Co 0.500 0.500 0.000 [1 per cell]
3 Rh 0.500 0.500 0.500 [1 per cell]


# Tb4Pr3NdSe8

Crystalline Tb4Pr3NdSe8 at its relaxed geometry (PBE, the Alexandria database).

Formation energy from raw total energies in eV per atom: -1.8084

Cell lengths 8.2726, 8.2726, 20.8749 Å; angles 90.00, 90.00, 120.00 degrees
Space group R-3m (No. 166, hexagonal axes)
One atom of each set of equivalent atoms:
1 Tb 0.0000 0.0000 0.0000 [3 per cell]
2 Tb 0.0000 0.5000 0.0000 [9 per cell]
3 Pr 0.0000 0.5000 0.5000 [9 per cell]
4 Nd 0.0000 0.0000 0.5000 [3 per cell]
5 Se 0.0000 0.0000 0.2554 [6 per cell]
6 Se 0.0012 0.5006 0.2551 [18 per cell]


Number 1: final energy -7.27 eV/atom. Number 2: final energy -3.84 eV/atom. Number 3: final energy -9.56 eV/atom. Number 4: final energy -5.16 eV/atom. Number 5: final energy -2.53 eV/atom. Number 6: final energy -3.99 eV/atom. Number 7: final energy -5.12 eV/atom. Number 8: final energy -5.90 eV/atom.